PaZnNi2O6: relaxed, PBE+U.

POSCAR file:
```
PaZnNi2O6
1.0
5.2232 0.0000 0.0000
0.0000 5.4897 0.0000
0.0000 0.0000 8.5662
Pa Zn Ni O
2 2 4 12
Direct
0.0000 0.0000 0.0000
0.5000 0.5000 0.5000
0.0000 0.0000 0.5000
0.5000 0.5000 0.0000
0.0000 0.5000 0.1938
0.0000 0.5000 0.8062
0.5000 0.0000 0.3062
0.5000 0.0000 0.6938
0.1922 0.3502 0.0000
0.2445 0.8183 0.1675
0.2445 0.8183 0.8325
0.2555 0.3183 0.3325
0.2555 0.3183 0.6675
0.3078 0.8502 0.5000
0.6922 0.1498 0.5000
0.7445 0.6817 0.3325
0.7445 0.6817 0.6675
0.7555 0.1817 0.1675
0.7555 0.1817 0.8325
0.8078 0.6498 0.0000
```

Results
* calculated total energy: -6.35 eV per atom